This record from Alexandria describes a relaxed ZrMo2Pt crystal. The functional is PBE.

Structure (POSCAR):
```
ZrMo2Pt
1.0
-3.827 0.992 1.937
-0.295 -2.677 0.788
2.544 -0.202 5.130
Mo Pt Zr
2 1 1
direct
0.000 0.047 0.027 Mo
0.500 0.214 0.226 Mo
0.000 0.446 0.501 Pt
0.500 0.793 0.745 Zr
```

Calculated values
**Calculated formation energy**: -0.19 eV per atom
**Energy**: -9.251 eV/atom
**Space group**: Pm
**V**: 69 Å³ per cell
**N(E_F)**: 0.91 states/eV per atom